## Tb2CePd (PBE)

Data for crystalline Tb2CePd at its relaxed geometry.

## Properties
Formation energy   -0.221 eV/atom
Energy relative to the lowest polymorph listed for this composition   13.5 kJ per mole of atoms
Symmetry   R3m
Electronic total energy   -5.3176 eV per atom
Fermi-level density of states   8.135 states/eV/cell

```
4
Lattice="1.8495 1.0678 9.6843 -1.8495 1.0678 9.6843 0.0000 -2.1356 9.6843" Properties=species:S:1:pos:R:3 pbc="T T T"
Tb 0.0000 0.0000 0.0000
Tb 0.0000 0.0000 5.8865
Ce 0.0000 0.0000 12.6520
Pd 0.0000 0.0000 17.4646
```

---

## Ni5Ge2 (PBE)

Data for crystalline Ni5Ge2 at its relaxed geometry.

## Properties
Formation energy   -0.256 eV/atom
Energy relative to the lowest polymorph listed for this composition   2.4 kJ per mole of atoms
Symmetry   Cccm
Electronic total energy   -5.7045 eV per atom
Fermi-level density of states   9.560 states/eV/cell

```
14
Lattice="2.9033 -5.6438 0.0000 2.9033 5.6438 0.0000 0.0000 0.0000 5.1152" Properties=species:S:1:pos:R:3 pbc="T T T"
Ni 0.0000 0.0000 1.2788
Ni 0.0000 0.0000 3.8364
Ni 1.7925 1.2273 0.0000
Ni 2.9033 3.0599 1.2788
Ni 2.9033 3.0599 3.8364
Ni 1.7925 -1.2273 2.5576
Ni 4.0141 1.2273 2.5576
Ni 2.9033 -3.0599 1.2788
Ni 2.9033 -3.0599 3.8364
Ni 4.0141 -1.2273 0.0000
Ge 1.6392 1.2496 2.5576
Ge 1.6392 -1.2496 0.0000
Ge 4.1674 1.2496 0.0000
Ge 4.1674 -1.2496 2.5576
```

---

## NaTlAsO3 (PBE)

Data for crystalline NaTlAsO3 at its relaxed geometry.

## Properties
Symmetry   Cmcm
Electronic total energy   -4.9535 eV per atom
Fermi-level density of states   3.672 states/eV/cell

```
12
Lattice="3.0050 -5.3530 0.0000 3.0050 5.3530 0.0000 0.0000 0.0000 5.8690" Properties=species:S:1:pos:R:3 pbc="T T T"
Na 3.0050 4.4454 4.4018
Na 3.0050 -4.4454 1.4673
Tl 3.0050 2.8208 1.4673
Tl 3.0050 -2.8208 4.4018
As 3.0050 0.3868 4.4018
As 3.0050 -0.3868 1.4673
O 1.7052 0.0000 0.0000
O 1.7052 0.0000 2.9345
O 3.0050 2.1365 4.4018
O 3.0050 -2.1365 1.4673
O 4.3048 0.0000 0.0000
O 4.3048 0.0000 2.9345
```

---

## Ca12Rh3O5 (PBE)

Data for crystalline Ca12Rh3O5 at its relaxed geometry.

## Properties
Symmetry   Ia-3d
Electronic total energy   -5.0257 eV per atom
Fermi-level density of states   32.261 states/eV/cell

```
80
Lattice="-7.6556 7.6556 7.6556 7.6556 -7.6556 7.6556 7.6556 7.6556 -7.6556" Properties=species:S:1:pos:R:3 pbc="T T T"
Ca 2.3301 -0.4376 0.7715
Ca 9.1533 4.5992 -4.2654
Ca 9.9856 0.4376 0.7715
Ca 9.1533 -3.0563 4.2654
Ca 7.2179 -0.7715 2.3301
Ca 11.9210 -1.4977 3.0563
Ca 0.7715 2.3301 -0.4376
Ca 10.7119 3.3902 -1.4977
Ca 4.5992 4.2654 -1.4977
Ca 6.8841 2.3301 0.4376
Ca -0.4376 0.7715 2.3301
Ca 4.2654 -1.4977 4.5992
Ca 7.2179 6.8841 -2.3301
Ca 4.2654 1.4977 3.0563
Ca 4.5992 -4.2654 9.1533
Ca 6.8841 -2.3301 7.2179
Ca 3.0563 4.2654 1.4977
Ca 8.4270 5.3255 0.4376
Ca 4.2654 9.1533 -3.0563
Ca 7.2179 0.7715 5.3255
Ca 2.3301 7.2179 -0.7715
Ca 9.1533 3.0563 3.3902
Ca 1.4977 3.0563 4.2654
Ca 2.3301 0.4376 6.8841
Ca 5.3255 7.2179 0.7715
Ca 6.1579 4.5992 3.3902
Ca -1.4977 4.5992 4.2654
Ca 5.3255 0.4376 8.4270
Ca 0.4376 6.8841 2.3301
Ca 3.3902 -1.4977 10.7119
Ca -0.7715 2.3301 7.2179
Ca 4.5992 3.3902 6.1579
Ca 0.7715 9.9856 0.4376
Ca 3.0563 11.9210 -1.4977
Ca 3.3902 6.1579 4.5992
Ca 0.4376 0.7715 9.9856
Ca 3.3902 9.1533 3.0563
Ca 8.0932 6.8841 5.3255
Ca 0.7715 5.3255 7.2179
Ca 3.0563 3.3902 9.1533
Ca -3.0563 4.2654 9.1533
Ca 6.8841 5.3255 8.0932
Ca -4.2654 9.1533 4.5992
Ca 0.4376 8.4270 5.3255
Ca -1.4977 10.7119 3.3902
Ca -2.3301 7.2179 6.8841
Ca -1.4977 3.0563 11.9210
Ca 5.3255 8.0932 6.8841
Rh 3.8278 1.9139 0.0000
Rh 7.6556 3.8278 -1.9139
Rh 1.9139 0.0000 3.8278
Rh 9.5694 0.0000 3.8278
Rh 0.0000 3.8278 1.9139
Rh 3.8278 -1.9139 7.6556
Rh 3.8278 9.5694 0.0000
Rh 7.6556 3.8278 5.7417
Rh -1.9139 7.6556 3.8278
Rh 5.7417 7.6556 3.8278
Rh 0.0000 3.8278 9.5694
Rh 3.8278 5.7417 7.6556
O 0.0000 0.0000 0.0000
O 3.8278 3.8278 -3.8278
O 3.8278 -3.8278 3.8278
O 7.6556 0.0000 0.0000
O 11.4833 1.9139 0.0000
O 7.6556 -3.8278 5.7417
O 5.7417 7.6556 -3.8278
O 5.7417 0.0000 3.8278
O 3.8278 5.7417 0.0000
O 7.6556 3.8278 1.9139
O -3.8278 3.8278 3.8278
O 0.0000 7.6556 0.0000
O 0.0000 0.0000 7.6556
O 3.8278 3.8278 3.8278
O 0.0000 3.8278 5.7417
O 3.8278 1.9139 7.6556
O 1.9139 7.6556 3.8278
O 1.9139 0.0000 11.4833
O 0.0000 11.4833 1.9139
O -3.8278 5.7417 7.6556
```

---

## KRbTl3 (PBE)

Data for crystalline KRbTl3 at its relaxed geometry.

## Properties
Formation energy   -0.057 eV/atom
Energy relative to the lowest polymorph listed for this composition   0.0 kJ per mole of atoms
Symmetry   R-3m
Electronic total energy   -1.8896 eV per atom
Fermi-level density of states   8.276 states/eV/cell

```
10
Lattice="3.5955 2.0758 9.0529 -3.5955 2.0758 9.0529 0.0000 -4.1517 9.0529" Properties=species:S:1:pos:R:3 pbc="T T T"
K 0.0000 0.0000 2.4637
K 0.0000 0.0000 24.6949
Rb 0.0000 0.0000 9.0746
Rb 0.0000 0.0000 18.0840
Tl -1.8420 -1.0635 12.3477
Tl 0.0000 -2.1269 14.8109
Tl -1.8420 1.0635 14.8109
Tl 1.8420 -1.0635 12.3477
Tl 0.0000 2.1269 12.3477
Tl 1.8420 1.0635 14.8109
```

---

## RbAlF3 (PBE)

Data for crystalline RbAlF3 at its relaxed geometry.

## Properties
Symmetry   Pmma
Electronic total energy   -4.6009 eV per atom
Fermi-level density of states   1.730 states/eV/cell

```
10
Lattice="5.3323 0.0000 0.0000 0.0000 6.6540 0.0000 0.0000 0.0000 6.2150" Properties=species:S:1:pos:R:3 pbc="T T T"
Rb 1.3331 0.0000 1.4705
Rb 3.9992 0.0000 4.7445
Al 0.0000 3.3270 3.1075
Al 2.6662 3.3270 3.1075
F 1.3331 2.1038 3.7955
F 1.3331 3.3270 1.7239
F 1.3331 4.5501 3.7955
F 3.9992 2.1038 2.4195
F 3.9992 3.3270 4.4911
F 3.9992 4.5501 2.4195
```